Entry 1:
DFT (PBE) results for a relaxed ZrCoHg2 crystal.

Lattice parameters (Å, degrees): 8.0005 8.0005 6.2142 49.93 49.93 90.00
Fractional coordinates of all 8 atoms:
Co 0.2500 0.7500 0.5000
Co 0.5000 0.5000 0.0000
Zr 0.0000 0.0000 0.0000
Zr 0.7500 0.2500 0.5000
Hg 0.3750 0.4398 0.7500
Hg 0.1898 0.6250 0.2500
Hg 0.8750 0.8102 0.7500
Hg 0.5602 0.1250 0.2500

Output
size of the total moment: 0.5 μB/f.u.
energy relative to the elements: 0.387 eV/atom
V: 82 Å³/f.u.
D(E_F): 4.37 states/eV/f.u.

Entry 2:
DFT (PBE) results for a relaxed Cr3Ag4 crystal.

Lattice parameters (Å, degrees): 13.2022 13.2022 13.2022 167.21 167.21 18.13
Fractional coordinates of all 7 atoms:
Ag 0.5747 0.5747 0.0000
Ag 0.4253 0.4253 0.0000
Ag 0.1544 0.1544 0.0000
Ag 0.8456 0.8456 0.0000
Cr 0.2694 0.2694 0.0000
Cr 0.0000 0.0000 0.0000
Cr 0.7306 0.7306 0.0000

Output
size of the total moment: 4.3 μB/f.u.
energy relative to the elements: 0.411 eV/atom
V: 113 Å³/f.u.
D(E_F): 6.02 states/eV/f.u.

Entry 3:
DFT (PBE) results for a relaxed BaSrSe2O8 crystal.

Lattice parameters (Å, degrees): 5.4115 5.4115 8.4802 71.39 71.39 60.00
Fractional coordinates of all 12 atoms:
Ba 0.5000 0.5000 0.5000
O 0.3044 0.9575 0.1954
O 0.8248 0.8248 0.5256
O 0.0425 0.4573 0.8046
O 0.6956 0.0425 0.8046
O 0.4573 0.6956 0.8046
O 0.5427 0.3044 0.1954
O 0.1752 0.1752 0.4744
O 0.9575 0.5427 0.1954
Sr 0.0000 0.0000 0.0000
Se 0.7539 0.7539 0.7382
Se 0.2461 0.2461 0.2618

Output
size of the total moment: 0.0 μB/f.u.
V: 200 Å³/f.u.
D(E_F): 0.00 states/eV/f.u.
energy relative to the elements, uncorrected: -1.65 eV/atom

Entry 4:
DFT (PBE) results for a relaxed TlHgCl2 crystal.

Lattice parameters (Å, degrees): 7.3268 7.3268 4.1495 94.28 94.28 33.04
Fractional coordinates of all 4 atoms:
Tl 0.2878 0.2878 0.1746
Cl 0.7115 0.7115 0.6499
Cl 0.9945 0.9945 0.0826
Hg 0.5062 0.5062 0.5929

Output
size of the total moment: 0.0 μB/f.u.
V: 121 Å³/f.u.
energy above the most stable polymorph in this dataset: 24 meV per atom
D(E_F): 0.18 states/eV/f.u.
energy relative to the elements, uncorrected: -0.60 eV/atom

Entry 5:
DFT (PBE) results for a relaxed PmSm3Al crystal.

Lattice parameters (Å, degrees): 4.6595 6.8397 10.2397 90.00 90.00 90.00
Fractional coordinates of all 10 atoms:
Sm 0.7500 0.5104 0.7534
Sm 0.2500 0.0104 0.2466
Sm 0.7500 0.9896 0.7534
Sm 0.7500 0.7500 0.0633
Sm 0.2500 0.2500 0.9367
Sm 0.2500 0.4896 0.2466
Al 0.7500 0.2500 0.1246
Al 0.2500 0.7500 0.8754
Pm 0.2500 0.2500 0.5570
Pm 0.7500 0.7500 0.4430

Output
size of the total moment: 0.0 μB/f.u.
energy relative to the elements: 0.085 eV/atom
V: 163 Å³/f.u.
energy above the most stable polymorph in this dataset: 205 meV per atom
D(E_F): 6.48 states/eV/f.u.

Entry 6:
DFT (PBE) results for a relaxed Sc2Zn5Hg crystal.

Lattice parameters (Å, degrees): 3.7858 8.4506 9.2703 90.00 90.00 102.94
Fractional coordinates of all 16 atoms:
Sc 0.1838 0.3677 0.2500
Sc 0.0000 0.0000 0.0000
Sc 0.0000 0.0000 0.5000
Sc 0.8162 0.6323 0.7500
Zn 0.2096 0.4192 0.5996
Zn 0.7904 0.5808 0.0996
Zn 0.3634 0.7268 0.9757
Zn 0.6366 0.2732 0.4757
Zn 0.3740 0.7480 0.2500
Zn 0.3634 0.7268 0.5243
Zn 0.7904 0.5808 0.4004
Zn 0.6366 0.2732 0.0243
Zn 0.6260 0.2520 0.7500
Zn 0.2096 0.4192 0.9004
Hg 0.4661 0.9321 0.7500
Hg 0.5339 0.0679 0.2500

Output
size of the total moment: 0.0 μB/f.u.
energy relative to the elements: -0.242 eV/atom
V: 145 Å³/f.u.
D(E_F): 4.89 states/eV/f.u.

Entry 7:
DFT (PBE) results for a relaxed NaPt3F crystal.

Lattice parameters (Å, degrees): 4.7407 4.7407 4.7407 90.00 90.00 90.00
Fractional coordinates of all 5 atoms:
Pt 0.0000 0.5000 0.0000
Pt 0.0000 0.0000 0.5000
Pt 0.5000 0.0000 0.0000
F 0.5000 0.5000 0.5000
Na 0.0000 0.0000 0.0000

Output
size of the total moment: 1.9 μB/f.u.
V: 107 Å³/f.u.
energy above the most stable polymorph in this dataset: 1077 meV per atom
D(E_F): 6.49 states/eV/f.u.
energy relative to the elements, uncorrected: 1.65 eV/atom

Entry 8:
DFT (PBE) results for a relaxed PrYHoHg crystal.

Lattice parameters (Å, degrees): 3.6614 3.6614 8.9078 90.00 90.00 90.00
Fractional coordinates of all 4 atoms:
Y 0.5000 0.5000 0.7854
Ho 0.5000 0.5000 0.3573
Pr 0.0000 0.0000 0.0740
Hg 0.0000 0.0000 0.5680

Output
size of the total moment: 0.0 μB/f.u.
energy relative to the elements: -0.240 eV/atom
V: 119 Å³/f.u.
energy above the most stable polymorph in this dataset: 0 meV per atom
D(E_F): 4.98 states/eV/f.u.

Entry 9:
DFT (PBE) results for a relaxed TcNiP2 crystal.

Lattice parameters (Å, degrees): 5.1410 5.1410 6.3610 66.17 66.17 90.00
Fractional coordinates of all 8 atoms:
Tc 0.0000 0.0000 0.0000
Tc 0.7500 0.2500 0.5000
P 0.3750 0.3886 0.7500
P 0.8750 0.8614 0.7500
P 0.6114 0.1250 0.2500
P 0.1386 0.6250 0.2500
Ni 0.2500 0.7500 0.5000
Ni 0.5000 0.5000 0.0000

Output
size of the total moment: 0.0 μB/f.u.
energy relative to the elements: -0.125 eV/atom
V: 69 Å³/f.u.
energy above the most stable polymorph in this dataset: 220 meV per atom
D(E_F): 1.93 states/eV/f.u.

Entry 10:
DFT (PBE) results for a relaxed Dy3Y2Sc3 crystal.

Lattice parameters (Å, degrees): 4.8098 4.9218 10.3620 103.74 103.42 90.00
Fractional coordinates of all 8 atoms:
Dy 0.6206 0.6206 0.2412
Dy 0.5000 0.0000 0.0000
Dy 0.3794 0.3794 0.7588
Y 0.7487 0.2487 0.4974
Y 0.2513 0.7513 0.5026
Sc 0.0000 0.5000 0.0000
Sc 0.1226 0.1226 0.2452
Sc 0.8774 0.8774 0.7548

Output
size of the total moment: 0.0 μB/f.u.
energy relative to the elements: 0.051 eV/atom
V: 231 Å³/f.u.
energy above the most stable polymorph in this dataset: 19 meV per atom
D(E_F): 12.59 states/eV/f.u.

Entry 11:
DFT (PBE) results for a relaxed Pm2EuBi crystal.

Lattice parameters (Å, degrees): 5.6318 5.6318 5.6318 60.00 60.00 60.00
Fractional coordinates of all 4 atoms:
Pm 0.2500 0.2500 0.2500
Pm 0.7500 0.7500 0.7500
Eu 0.5000 0.5000 0.5000
Bi 0.0000 0.0000 0.0000

Output
size of the total moment: 7.2 μB/f.u.
energy relative to the elements: -0.245 eV/atom
V: 126 Å³/f.u.
energy above the most stable polymorph in this dataset: 155 meV per atom
D(E_F): 6.56 states/eV/f.u.

Entry 12:
DFT (PBE) results for a relaxed Sm5Er3P8 crystal.

Lattice parameters (Å, degrees): 8.1121 8.1121 8.1119 60.00 60.00 60.00
Fractional coordinates of all 16 atoms:
Sm 0.0000 0.5000 0.0000
Sm 0.5000 0.5000 0.5000
Sm 0.5000 0.5000 0.0000
Sm 0.0000 0.0000 0.0000
Sm 0.5000 0.0000 0.0000
Er 0.5000 0.0000 0.5000
Er 0.0000 0.5000 0.5000
Er 0.0000 0.0000 0.5000
P 0.7500 0.7500 0.2557
P 0.2500 0.7557 0.7443
P 0.7557 0.2500 0.7443
P 0.7500 0.2443 0.2557
P 0.2500 0.2500 0.7443
P 0.7528 0.7528 0.7416
P 0.2472 0.2472 0.2584
P 0.2443 0.7500 0.2557

Output
size of the total moment: 0.0 μB/f.u.
energy relative to the elements: -1.580 eV/atom
V: 377 Å³/f.u.
D(E_F): 2.11 states/eV/f.u.

Entry 13:
DFT (PBE) results for a relaxed AuSN2F crystal.

Lattice parameters (Å, degrees): 4.0627 4.0627 5.2792 90.00 90.00 90.00
Fractional coordinates of all 5 atoms:
Au 0.0000 0.0000 0.0000
S 0.0000 0.0000 0.5000
F 0.5000 0.5000 0.5000
N 0.5000 0.0000 0.0000
N 0.0000 0.5000 0.0000

Output
size of the total moment: 5.7 μB/f.u.
V: 87 Å³/f.u.
energy above the most stable polymorph in this dataset: 584 meV per atom
D(E_F): 1.13 states/eV/f.u.
energy relative to the elements, uncorrected: 1.77 eV/atom

Entry 14:
DFT (PBE) results for a relaxed Zr4CuGe crystal.

Lattice parameters (Å, degrees): 5.3522 6.6771 6.6771 90.00 90.00 90.00
Fractional coordinates of all 12 atoms:
Zr 0.0000 0.3469 0.1574
Zr 0.0000 0.1574 0.6531
Zr 0.5000 0.8426 0.6531
Zr 0.5000 0.3469 0.8426
Zr 0.0000 0.6531 0.8426
Zr 0.5000 0.6531 0.1574
Zr 0.0000 0.8426 0.3469
Zr 0.5000 0.1574 0.3469
Cu 0.2500 0.5000 0.5000
Cu 0.7500 0.5000 0.5000
Ge 0.2500 0.0000 0.0000
Ge 0.7500 0.0000 0.0000

Output
size of the total moment: 0.0 μB/f.u.
energy relative to the elements: -0.393 eV/atom
V: 119 Å³/f.u.
energy above the most stable polymorph in this dataset: 12 meV per atom
D(E_F): 6.95 states/eV/f.u.

Entry 15:
DFT (PBE) results for a relaxed CaSnB crystal.

Lattice parameters (Å, degrees): 6.7978 3.9138 9.8178 90.00 90.00 90.00
Fractional coordinates of all 12 atoms:
Ca 0.5000 0.5000 0.9932
Ca 0.0000 0.0000 0.9140
Ca 0.5000 0.0000 0.4932
Ca 0.0000 0.5000 0.4140
B 0.6187 0.5000 0.2865
B 0.3813 0.0000 0.7865
B 0.3813 0.5000 0.2865
B 0.6187 0.0000 0.7865
Sn 0.2264 0.0000 0.2030
Sn 0.2264 0.5000 0.7030
Sn 0.7736 0.0000 0.2030
Sn 0.7736 0.5000 0.7030

Output
size of the total moment: 0.0 μB/f.u.
energy relative to the elements: -0.148 eV/atom
V: 65 Å³/f.u.
energy above the most stable polymorph in this dataset: 18 meV per atom
D(E_F): 1.04 states/eV/f.u.

Entry 16:
DFT (PBE) results for a relaxed NaYHg2As crystal.

Lattice parameters (Å, degrees): 5.3464 5.3464 5.0479 90.00 90.00 90.00
Fractional coordinates of all 5 atoms:
Hg 0.5000 0.0000 0.0000
Hg 0.0000 0.5000 0.0000
Y 0.5000 0.5000 0.5000
Na 0.0000 0.0000 0.5000
As 0.0000 0.0000 0.0000

Output
size of the total moment: 0.0 μB/f.u.
energy relative to the elements: 0.223 eV/atom
V: 144 Å³/f.u.
D(E_F): 4.52 states/eV/f.u.

Entry 17:
DFT (PBE) results for a relaxed Pm5Pr5Sc2 crystal.

Lattice parameters (Å, degrees): 5.1084 8.0953 10.8303 72.57 76.36 71.61
Fractional coordinates of all 12 atoms:
Pm 0.4209 0.9091 0.2490
Pm 0.3321 0.3363 0.9996
Pm 0.5791 0.0909 0.7510
Pm 0.6679 0.6637 0.0004
Pm 0.5000 0.5000 0.5000
Pr 0.2540 0.7433 0.7487
Pr 0.0000 0.0000 0.0000
Pr 0.8374 0.8265 0.4986
Pr 0.1626 0.1735 0.5014
Pr 0.7460 0.2567 0.2513
Sc 0.0842 0.5846 0.2469
Sc 0.9158 0.4154 0.7531

Output
size of the total moment: 0.0 μB/f.u.
energy relative to the elements: 0.038 eV/atom
V: 401 Å³/f.u.
D(E_F): 18.82 states/eV/f.u.

Entry 18:
DFT (PBE) results for a relaxed TlCrPdSe3 crystal.

Lattice parameters (Å, degrees): 3.6770 7.8764 9.9900 111.31 90.00 90.00
Fractional coordinates of all 12 atoms:
Se 0.7500 0.2592 0.5898
Se 0.2500 0.7408 0.4102
Se 0.7500 0.8943 0.1143
Se 0.2500 0.5382 0.8777
Se 0.2500 0.1057 0.8857
Se 0.7500 0.4618 0.1223
Tl 0.2500 0.2558 0.2971
Tl 0.7500 0.7442 0.7029
Pd 0.2500 0.0523 0.6257
Pd 0.7500 0.9477 0.3743
Cr 0.7500 0.3028 0.8475
Cr 0.2500 0.6972 0.1525

Output
size of the total moment: 1.9 μB/f.u.
V: 135 Å³/f.u.
D(E_F): 3.94 states/eV/f.u.
energy relative to the elements, uncorrected: -0.37 eV/atom

Entry 19:
DFT (PBE) results for a relaxed Pm3GaSb crystal.

Lattice parameters (Å, degrees): 5.5027 5.5027 5.5027 90.00 90.00 90.00
Fractional coordinates of all 5 atoms:
Pm 0.5000 0.0000 0.0000
Pm 0.0000 0.5000 0.0000
Pm 0.0000 0.0000 0.5000
Ga 0.0000 0.0000 0.0000
Sb 0.5000 0.5000 0.5000

Output
size of the total moment: 0.0 μB/f.u.
V: 167 Å³/f.u.
energy above the most stable polymorph in this dataset: 392 meV per atom
D(E_F): 3.13 states/eV/f.u.
energy relative to the elements, uncorrected: -0.29 eV/atom

Entry 20:
DFT (PBE) results for a relaxed LaMnIn2 crystal.

Lattice parameters (Å, degrees): 5.8032 5.8032 3.2759 89.98 89.98 110.35
Fractional coordinates of all 4 atoms:
In 0.0000 0.0000 0.0000
In 0.5000 0.5000 0.0000
La 0.5000 0.0000 0.5000
Mn 0.0000 0.5000 0.5000

Output
size of the total moment: 4.2 μB/f.u.
energy relative to the elements: 0.066 eV/atom
V: 103 Å³/f.u.
D(E_F): 3.30 states/eV/f.u.